No. 1
Compound: Y2Cu3Mo4N3
Source: OQMD via LeMat-Bulk
Functional: PBE
Structure: relaxed

a b c (Å): 5.4737 5.4737 13.3949
angles (deg): 101.71 101.71 60.38
Last column: nearest neighbours and their distance in Å.
Positions (direct):
N 0.3441 0.8121 0.5001  4 Mo 2.11-2.13, 2 Y 2.33-2.34
N 0.0000 0.5000 0.5000  4 Mo 2.08-2.09
N 0.1879 0.6559 0.9999  4 Mo 2.11-2.13, 2 Y 2.33-2.34
N 0.8121 0.3441 0.0001  4 Mo 2.11-2.13, 2 Y 2.33-2.34
N 0.5000 0.0000 0.0000  4 Mo 2.08-2.09
N 0.6559 0.1879 0.4999  4 Mo 2.11-2.13, 2 Y 2.33-2.34
Y 0.4606 0.6203 0.8793  3 N 2.33-2.43
Y 0.5394 0.3797 0.1207  3 N 2.33-2.43
Y 0.3797 0.5394 0.6207  3 N 2.33-2.43
Y 0.6203 0.4606 0.3793  3 N 2.33-2.43
Cu 0.9322 0.0678 0.7500  4 Cu 2.73-2.75, 4 Mo 2.73-2.77
Cu 0.4169 0.0953 0.7498  4 Cu 2.73-2.75, 4 Mo 2.73-2.78
Cu 0.0678 0.9322 0.2500  4 Cu 2.73-2.75, 4 Mo 2.73-2.77
Cu 0.9047 0.5831 0.7502  4 Cu 2.73-2.75, 4 Mo 2.73-2.78
Cu 0.0953 0.4169 0.2498  4 Cu 2.73-2.75, 4 Mo 2.73-2.78
Cu 0.5831 0.9047 0.2502  4 Cu 2.73-2.75, 4 Mo 2.73-2.78
Mo 0.8140 0.9645 0.9236  3 N 2.08-2.13
Mo 0.1860 0.0355 0.0764  3 N 2.08-2.13
Mo 0.3035 0.1363 0.4234  3 N 2.09-2.12
Mo 0.9645 0.8140 0.4236  3 N 2.08-2.13
Mo 0.0355 0.1860 0.5764  3 N 2.08-2.13
Mo 0.8637 0.6965 0.0766  3 N 2.09-2.12
Mo 0.1363 0.3035 0.9234  3 N 2.09-2.12
Mo 0.6965 0.8637 0.5766  3 N 2.09-2.12

Calculated values
E_tot ... -8.100 eV/atom
Calculated density ... 7.778 g/cm³
SG ... C2/c

---

No. 2
Compound: KRbUTe3
Source: OQMD via LeMat-Bulk
Functional: PBE
Structure: relaxed

a b c (Å): 10.3362 10.3362 12.9686
angles (deg): 90.00 90.00 154.14
Last column: nearest neighbours and their distance in Å.
Positions (direct):
Te 0.3989 0.6011 0.4977  2 U 3.08, 1 K 3.23, 1 Rb 3.38
Te 0.6011 0.3989 0.5023  2 U 3.08, 1 K 3.23, 1 Rb 3.38
Te 0.6011 0.3989 0.9977  2 U 3.08, 1 K 3.23, 1 Rb 3.38
Te 0.9933 0.0067 0.7500  2 U 3.24, 2 K 3.41, 2 Rb 3.61
Te 0.3989 0.6011 0.0023  2 U 3.08, 1 K 3.23, 1 Rb 3.38
Te 0.0067 0.9933 0.2500  2 U 3.24, 2 K 3.41, 2 Rb 3.61
U 0.0000 0.0000 0.5000  6 Te 3.08-3.24
U 0.0000 0.0000 0.0000  6 Te 3.08-3.24
K 0.6176 0.3824 0.7500  4 Te 3.23-3.41
K 0.3824 0.6176 0.2500  4 Te 3.23-3.41
Rb 0.6441 0.3559 0.2500  4 Te 3.38-3.61
Rb 0.3559 0.6441 0.7500  4 Te 3.38-3.61

Calculated values
E_tot ... -4.551 eV/atom
Calculated density ... 4.096 g/cm³
SG ... Cmcm

---

No. 3
Compound: RbSiAu3
Source: OQMD via LeMat-Bulk
Functional: PBE
Structure: relaxed

a b c (Å): 4.7896 4.9881 4.9881
angles (deg): 88.17 90.00 90.00
Last column: nearest neighbours and their distance in Å.
Positions (direct):
Au 0.0000 0.6842 0.6842  2 Si 2.53
Au 0.5000 0.2824 0.6998  2 Si 2.45-2.64
Au 0.5000 0.6998 0.2824  2 Si 2.45-2.64
Rb 0.0000 0.1932 0.1932  12 Au 3.45-3.65, 2 Si 3.71
Si 0.5000 0.7986 0.7986  6 Au 2.45-2.64

Calculated values
Calculated density ... 9.821 g/cm³
SG ... Amm2
E above lowest polymorph ... 18 meV/atom

---

No. 4
Compound: CuNiBPd
Source: OQMD via LeMat-Bulk
Functional: PBE
Structure: relaxed

a b c (Å): 4.0049 4.0049 4.0049
angles (deg): 60.00 60.00 60.00
Last column: nearest neighbours and their distance in Å.
Positions (direct):
B 0.0000 0.0000 0.0000  4 Ni 2.45, 4 Cu 2.45
Ni 0.7500 0.7500 0.7500  4 B 2.45, 4 Pd 2.45
Cu 0.2500 0.2500 0.2500  4 Pd 2.45, 4 B 2.45
Pd 0.5000 0.5000 0.5000  4 Cu 2.45, 4 Ni 2.45

Calculated values
Calculated density ... 8.755 g/cm³
SG ... F-43m
E above lowest polymorph ... 92 meV/atom

---

No. 5
Compound: KMgZrTe3
Source: OQMD via LeMat-Bulk
Functional: PBE
Structure: relaxed

a b c (Å): 8.3874 8.3874 11.3196
angles (deg): 90.00 90.00 150.30
Last column: nearest neighbours and their distance in Å.
Positions (direct):
Te 0.1255 0.8745 0.0457  1 Mg 2.75, 2 Zr 3.01
Te 0.8745 0.1255 0.9543  1 Mg 2.75, 2 Zr 3.01
Te 0.8745 0.1255 0.5457  1 Mg 2.75, 2 Zr 3.01
Te 0.4255 0.5745 0.2500  2 Mg 2.77, 2 Zr 3.08
Te 0.1255 0.8745 0.4543  1 Mg 2.75, 2 Zr 3.01
Te 0.5745 0.4255 0.7500  2 Mg 2.77, 2 Zr 3.08
Zr 0.5000 0.5000 0.0000  6 Te 3.01-3.08
Zr 0.5000 0.5000 0.5000  6 Te 3.01-3.08
K 0.7471 0.2529 0.2500  8 Te 3.60-3.93
K 0.2529 0.7471 0.7500  8 Te 3.60-3.93
Mg 0.0336 0.9664 0.2500  4 Te 2.75-2.77
Mg 0.9664 0.0336 0.7500  4 Te 2.75-2.77

Calculated values
E_tot ... -4.315 eV/atom
Calculated density ... 4.524 g/cm³
SG ... Cmcm

---

No. 6
Compound: LuBeTl
Source: OQMD via LeMat-Bulk
Functional: PBE
Structure: relaxed

a b c (Å): 4.7485 4.7485 4.7485
angles (deg): 60.00 60.00 60.00
Last column: nearest neighbours and their distance in Å.
Positions (direct):
Lu 0.0000 0.0000 0.0000  4 Tl 2.91, 4 Be 2.91
Tl 0.7500 0.7500 0.7500  4 Lu 2.91
Be 0.2500 0.2500 0.2500  4 Lu 2.91

Calculated values
Calculated density ... 8.518 g/cm³
SG ... F-43m
E above lowest polymorph ... 652 meV/atom

---

No. 7
Compound: TbPrCd2P4
Source: OQMD via LeMat-Bulk
Functional: PBE
Structure: relaxed

a b c (Å): 3.9743 3.9743 10.4113
angles (deg): 90.00 90.00 90.00
Last column: nearest neighbours and their distance in Å.
Positions (direct):
Pr 0.0000 0.0000 0.2074  8 P 3.00
P 0.5000 0.0000 0.9919  4 P 2.81, 2 Tb 2.90, 2 Pr 3.00
P 0.0000 0.0000 0.7008  4 Cd 2.85, 4 Tb 2.96
P 0.5000 0.5000 0.3094  4 Cd 2.84, 4 Pr 3.00
P 0.0000 0.5000 0.9919  4 P 2.81, 2 Tb 2.90, 2 Pr 3.00
Tb 0.5000 0.5000 0.7896  8 P 2.90-2.96
Cd 0.5000 0.0000 0.5045  4 Cd 2.81, 4 P 2.84-2.85
Cd 0.0000 0.5000 0.5045  4 Cd 2.81, 4 P 2.84-2.85

Calculated values
E_tot ... -4.695 eV/atom
Calculated density ... 6.549 g/cm³
SG ... P4mm

---

No. 8
Compound: NaPrSn
Source: OQMD via LeMat-Bulk
Functional: PBE
Structure: relaxed

a b c (Å): 5.2642 5.2642 5.2642
angles (deg): 60.00 60.00 60.00
Last column: nearest neighbours and their distance in Å.
Positions (direct):
Sn 0.7500 0.7500 0.7500  4 Na 3.22, 4 Pr 3.22
Pr 0.5000 0.5000 0.5000  4 Sn 3.22
Na 0.0000 0.0000 0.0000  4 Sn 3.22

Calculated values
E_tot ... -3.719 eV/atom
Calculated density ... 4.549 g/cm³
SG ... F-43m

---

No. 9
Compound: KAcTm
Source: OQMD via LeMat-Bulk
Functional: PBE
Structure: relaxed

a b c (Å): 6.1018 6.1018 6.1018
angles (deg): 60.00 60.00 60.00
Last column: nearest neighbours and their distance in Å.
Positions (direct):
Tm 0.0000 0.0000 0.0000  4 Ac 3.74, 4 K 3.74
Ac 0.2500 0.2500 0.2500  4 Tm 3.74
K 0.7500 0.7500 0.7500  4 Tm 3.74

Calculated values
Calculated density ... 4.497 g/cm³
SG ... F-43m
E above lowest polymorph ... 0 meV/atom

---

No. 10
Compound: GeMo3CN
Source: OQMD via LeMat-Bulk
Functional: PBE
Structure: relaxed

a b c (Å): 3.1298 3.1298 17.5095
angles (deg): 90.00 90.00 120.00
Last column: nearest neighbours and their distance in Å.
Positions (direct):
C 0.3333 0.6667 0.0734  6 Mo 2.11-2.22
C 0.6667 0.3333 0.9266  6 Mo 2.11-2.22
N 0.3333 0.6667 0.4299  6 Mo 2.12-2.18
N 0.6667 0.3333 0.5701  6 Mo 2.12-2.18
Mo 0.0000 0.0000 0.0000  6 C 2.22
Mo 0.6667 0.3333 0.3671  3 N 2.12
Mo 0.6667 0.3333 0.1351  3 C 2.11
Mo 0.3333 0.6667 0.8649  3 C 2.11
Mo 0.0000 0.0000 0.5000  6 N 2.18
Mo 0.3333 0.6667 0.6329  3 N 2.12
Ge 0.0000 0.0000 0.2520  6 Mo 2.71-2.73
Ge 0.0000 0.0000 0.7480  6 Mo 2.71-2.73

Calculated values
E_tot ... -9.097 eV/atom
Calculated density ... 8.641 g/cm³
SG ... P-3m1

---

No. 11
Compound: ErAl3
Source: OQMD via LeMat-Bulk
Functional: PBE
Structure: relaxed

a b c (Å): 4.8200 4.8200 4.8200
angles (deg): 60.00 60.00 60.00
Last column: nearest neighbours and their distance in Å.
Positions (direct):
Al 0.5000 0.5000 0.5000  4 Al 2.95, 4 Er 2.95
Al 0.0000 0.0000 0.0000  4 Er 2.95, 4 Al 2.95
Al 0.2500 0.2500 0.2500  8 Al 2.95
Er 0.7500 0.7500 0.7500  8 Al 2.95

Calculated values
E_tot ... -4.030 eV/atom
Calculated density ... 5.205 g/cm³
SG ... Fm-3m

---

No. 12
Compound: Dy2Er3Ga3
Source: OQMD via LeMat-Bulk
Functional: PBE
Structure: relaxed

a b c (Å): 6.8826 6.8826 4.9171
angles (deg): 90.00 90.00 120.00
Last column: nearest neighbours and their distance in Å.
Positions (direct):
Ga 0.8147 0.1853 0.5000  2 Ga 3.06, 4 Er 3.06, 2 Dy 3.31
Ga 0.3706 0.1853 0.5000  2 Ga 3.06, 4 Er 3.06, 2 Dy 3.31
Ga 0.8147 0.6294 0.5000  2 Ga 3.06, 4 Er 3.06, 2 Dy 3.31
Dy 0.0000 0.0000 0.0000  6 Ga 3.31, 6 Er 3.44
Dy 0.3333 0.6667 0.5000  6 Er 3.24, 6 Ga 3.45
Er 0.9796 0.4898 0.0000  4 Ga 3.06, 2 Er 3.23, 2 Dy 3.24
Er 0.5102 0.4898 0.0000  4 Ga 3.06, 2 Er 3.23, 2 Dy 3.24
Er 0.5102 0.0204 0.0000  4 Ga 3.06, 2 Er 3.23, 2 Dy 3.24

Calculated values
Calculated density ... 8.528 g/cm³
SG ... P-6m2
E above lowest polymorph ... 109 meV/atom

---

No. 13
Compound: Y4TlNiC2
Source: OQMD via LeMat-Bulk
Functional: PBE
Structure: relaxed

a b c (Å): 3.6254 3.6254 14.8127
angles (deg): 90.00 90.00 120.00
Last column: nearest neighbours and their distance in Å.
Positions (direct):
Tl 0.6667 0.3333 0.5000  6 Y 3.44, 6 Tl 3.63
Y 0.6667 0.3333 0.1329  3 C 2.52
Y 0.0000 0.0000 0.3157  3 C 2.47
Y 0.0000 0.0000 0.6843  3 C 2.47
Y 0.6667 0.3333 0.8671  3 C 2.52
Ni 0.0000 0.0000 0.0000  6 Y 2.87
C 0.3333 0.6667 0.2271  6 Y 2.47-2.52
C 0.3333 0.6667 0.7729  6 Y 2.47-2.52

Calculated values
E_tot ... -6.808 eV/atom
Calculated density ... 6.330 g/cm³
SG ... P-6m2

---

No. 14
Compound: RbZrBi
Source: OQMD via LeMat-Bulk
Functional: PBE
Structure: relaxed

a b c (Å): 5.4228 5.4228 5.4228
angles (deg): 60.00 60.00 60.00
Last column: nearest neighbours and their distance in Å.
Positions (direct):
Bi 0.2500 0.2500 0.2500  4 Rb 3.32
Rb 0.0000 0.0000 0.0000  4 Zr 3.32, 4 Bi 3.32
Zr 0.7500 0.7500 0.7500  4 Rb 3.32

Calculated values
E_tot ... -3.237 eV/atom
Calculated density ... 5.679 g/cm³
SG ... F-43m

---

No. 15
Compound: H24OsC8N2F6
Source: OQMD via LeMat-Bulk
Functional: PBE
Structure: relaxed

a b c (Å): 7.7515 7.7515 7.8236
angles (deg): 119.70 60.30 120.00
Last column: nearest neighbours and their distance in Å.
Positions (direct):
H 0.5243 0.3102 0.7321  1 C 1.09
H 0.4789 0.9778 0.7249  1 C 1.09
H 0.2842 0.7487 0.9664  1 C 1.09
H 0.7158 0.2513 0.0336  1 C 1.09
H 0.5211 0.0222 0.2751  1 C 1.09
H 0.7122 0.9615 0.4994  1 C 1.10
H 0.2501 0.7122 0.5006  1 C 1.10
H 0.2878 0.0385 0.5006  1 C 1.10
H 0.0385 0.2501 0.4994  1 C 1.10
H 0.0538 0.4757 0.7321  1 C 1.09
H 0.3102 0.0538 0.2679  1 C 1.09
H 0.0222 0.2260 0.7249  1 C 1.09
H 0.7499 0.2878 0.4994  1 C 1.10
H 0.2513 0.5018 0.9664  1 C 1.09
H 0.7487 0.4982 0.0336  1 C 1.09
H 0.7740 0.5211 0.7249  1 C 1.09
H 0.9462 0.5243 0.2679  1 C 1.09
H 0.9615 0.7499 0.5006  1 C 1.10
H 0.6898 0.9462 0.7321  1 C 1.09
H 0.4982 0.7158 0.9664  1 C 1.09
H 0.5018 0.2842 0.0336  1 C 1.09
H 0.4757 0.6898 0.2679  1 C 1.09
H 0.2260 0.4789 0.2751  1 C 1.09
H 0.9778 0.7740 0.2751  1 C 1.09
F 0.8497 0.2049 0.1784  1 Os 1.97, 4 H 2.03-2.15
F 0.7951 0.8232 0.1784  1 Os 1.97, 4 H 2.03-2.15
F 0.1768 0.1503 0.1784  1 Os 1.97, 4 H 2.03-2.15
F 0.8232 0.8497 0.8216  1 Os 1.97, 4 H 2.03-2.15
F 0.1503 0.7951 0.8216  1 Os 1.97, 4 H 2.03-2.15
F 0.2049 0.1768 0.8216  1 Os 1.97, 4 H 2.03-2.15
C 0.9845 0.3044 0.6701  3 H 1.09-1.10
C 0.3502 0.9845 0.3299  3 H 1.09-1.10
C 0.6498 0.0155 0.6701  3 H 1.09-1.10
C 0.0155 0.6956 0.3299  3 H 1.09-1.10
C 0.6733 0.3267 0.9801  3 H 1.09
C 0.6956 0.3502 0.6701  3 H 1.09-1.10
C 0.3267 0.6733 0.0199  3 H 1.09
C 0.3044 0.6498 0.3299  3 H 1.09-1.10
N 0.7509 0.2491 0.7474  4 C 1.49
N 0.2491 0.7509 0.2526  4 C 1.49
Os 0.0000 0.0000 0.0000  6 F 1.97

Calculated values
E_tot ... -5.234 eV/atom
Calculated density ... 2.250 g/cm³
SG ... R-3

---

No. 16
Compound: KAg3PbS4
Source: OQMD via LeMat-Bulk
Functional: PBE
Structure: relaxed

a b c (Å): 6.4873 6.4873 6.4873
angles (deg): 90.00 90.00 90.00
Last column: nearest neighbours and their distance in Å.
Positions (direct):
Ag 0.5000 0.5000 0.0000  4 S 2.72
Ag 0.0000 0.5000 0.5000  4 S 2.72
Ag 0.5000 0.0000 0.5000  4 S 2.72
S 0.2771 0.2771 0.2771  1 Pb 2.50, 3 Ag 2.72
S 0.7229 0.7229 0.2771  1 Pb 2.50, 3 Ag 2.72
S 0.7229 0.2771 0.7229  1 Pb 2.50, 3 Ag 2.72
S 0.2771 0.7229 0.7229  1 Pb 2.50, 3 Ag 2.72
Pb 0.5000 0.5000 0.5000  4 S 2.50
K 0.0000 0.0000 0.0000  4 S 3.11

Calculated values
E_tot ... -3.489 eV/atom
Calculated density ... 4.246 g/cm³
SG ... P-43m